Computed, not measured: an optimized crystal structure of KPu at the PBE-GGA level of DFT.

Spin magnetization = 3.502 μB per atom
Energy = -5.9093 eV per atom
Space group = F-43m (216)

a = 5.8343 Å, b = 5.8343 Å, c = 5.8343 Å
α = 60.00°, β = 60.00°, γ = 60.00°
Last column: nearest neighbours and their distance in Å.
Fractional coordinates of all 2 atoms:
K: 0.0000 0.0000 0.0000  4 Pu 3.57
Pu: 0.2500 0.2500 0.2500  4 K 3.57



Computed, not measured: an optimized crystal structure of KPu at the PBE-GGA level of DFT.

Spin magnetization = 3.478 μB per atom
Energy = -6.9917 eV per atom
Space group = P-6m2 (187)

a = 3.5877 Å, b = 3.5909 Å, c = 7.3326 Å
α = 90.00°, β = 90.00°, γ = 119.97°
Last column: nearest neighbours and their distance in Å.
Fractional coordinates of all 2 atoms:
K: 0.6666 0.3333 0.7500  6 K 3.59
Pu: 0.3334 0.6667 0.2500  6 Pu 3.59



Computed, not measured: an optimized crystal structure of KPu at the PBE-GGA level of DFT.

Spin magnetization = 3.487 μB per atom
Energy = -6.3567 eV per atom
Space group = Fm-3m (225)

a = 5.2487 Å, b = 5.2487 Å, c = 5.2487 Å
α = 60.00°, β = 60.00°, γ = 60.00°
Last column: nearest neighbours and their distance in Å.
Fractional coordinates of all 2 atoms:
K: 0.0000 0.0000 0.0000  6 Pu 3.71
Pu: 0.5000 0.5000 0.5000  6 K 3.71



Computed, not measured: an optimized crystal structure of KRbPuS3 at the PBE-GGA level of DFT.

Spin magnetization = 0.666 μB per atom
Energy = -6.0884 eV per atom
Space group = P-1 (2)

a = 7.3551 Å, b = 7.3801 Å, c = 7.8327 Å
α = 69.05°, β = 84.87°, γ = 84.40°
Last column: nearest neighbours and their distance in Å.
Fractional coordinates of all 12 atoms:
Rb: 0.7041 0.6824 0.4931  6 S 3.37-3.74
Rb: 0.2959 0.3176 0.5069  6 S 3.37-3.74
S: 0.0100 0.3636 0.8537  2 Pu 2.64-2.67
Pu: 0.2510 0.5793 0.9131  5 S 2.50-2.67
S: 0.2535 0.8406 0.6028  1 Pu 2.50
S: 0.4900 0.6921 0.0840  2 Pu 2.62-2.66
Pu: 0.7490 0.4207 0.0869  5 S 2.50-2.67
S: 0.7465 0.1594 0.3972  1 Pu 2.50
K: 0.1948 0.9935 0.1863  5 S 3.10-3.45
S: 0.5100 0.3079 0.9160  2 Pu 2.62-2.66
K: 0.8052 0.0065 0.8137  5 S 3.10-3.45
S: 0.9900 0.6364 0.1463  2 Pu 2.64-2.67



Computed, not measured: an optimized crystal structure of K2PuS3 at the PBE-GGA level of DFT.

Spin magnetization = 0.667 μB per atom
Energy = -6.1054 eV per atom
Space group = Cmcm (63)

a = 7.4758 Å, b = 7.4758 Å, c = 7.3060 Å
α = 90.00°, β = 90.00°, γ = 68.51°
Last column: nearest neighbours and their distance in Å.
Fractional coordinates of all 12 atoms:
S: 0.1435 0.1435 0.5000  2 Pu 2.65
Pu: 0.0875 0.9125 0.7500  5 S 2.48-2.65
K: 0.8287 0.5041 0.7500  5 S 3.12-3.39
S: 0.8565 0.8565 0.5000  2 Pu 2.65
S: 0.3827 0.6173 0.7500  1 Pu 2.48
S: 0.1435 0.1435 0.0000  2 Pu 2.65
K: 0.5041 0.8287 0.2500  5 S 3.12-3.39
K: 0.1713 0.4959 0.2500  5 S 3.12-3.39
S: 0.6173 0.3827 0.2500  1 Pu 2.48
S: 0.8565 0.8565 0.0000  2 Pu 2.65
Pu: 0.9125 0.0875 0.2500  5 S 2.48-2.65
K: 0.4959 0.1713 0.7500  5 S 3.12-3.39



Computed, not measured: an optimized crystal structure of K2PuS3 at the PBE-GGA level of DFT.

Spin magnetization = 0.666 μB per atom
Energy = -6.1015 eV per atom
Space group = C2/c (15)

a = 7.4134 Å, b = 7.4134 Å, c = 7.3374 Å
α = 91.34°, β = 91.34°, γ = 70.97°
Last column: nearest neighbours and their distance in Å.
Fractional coordinates of all 12 atoms:
S: 0.8460 0.8612 0.9981  2 Pu 2.64-2.66
K: 0.4980 0.8221 0.7373  5 S 3.15-3.45
K: 0.5020 0.1779 0.2627  5 S 3.15-3.45
S: 0.6265 0.3735 0.7500  1 Pu 2.48
Pu: 0.9143 0.0857 0.7500  5 S 2.48-2.66
S: 0.1540 0.1388 0.0019  2 Pu 2.64-2.66
Pu: 0.0857 0.9143 0.2500  5 S 2.48-2.66
S: 0.3735 0.6265 0.2500  1 Pu 2.48
S: 0.8612 0.8460 0.4981  2 Pu 2.64-2.66
S: 0.1388 0.1540 0.5019  2 Pu 2.64-2.66
K: 0.8221 0.4980 0.2373  5 S 3.15-3.45
K: 0.1779 0.5020 0.7627  5 S 3.15-3.45



Computed, not measured: an optimized crystal structure of K2PuS3 at the PBE-GGA level of DFT.

Spin magnetization = 0.667 μB per atom
Energy = -6.1054 eV per atom
Space group = Cmc2_1 (36)

a = 7.4942 Å, b = 7.4942 Å, c = 7.2794 Å
α = 90.00°, β = 90.00°, γ = 68.56°
Last column: nearest neighbours and their distance in Å.
Fractional coordinates of all 12 atoms:
S: 0.6426 0.6441 0.5057  2 Pu 2.65
S: 0.3574 0.3559 0.0057  2 Pu 2.65
S: 0.8842 0.1158 0.2597  1 Pu 2.49
K: 0.6705 0.9964 0.7549  5 S 3.13-3.39
Pu: 0.4107 0.5893 0.7562  5 S 2.49-2.65
K: 0.0036 0.3295 0.7549  5 S 3.13-3.39
S: 0.6441 0.6426 0.0057  2 Pu 2.65
S: 0.1158 0.8842 0.7597  1 Pu 2.49
Pu: 0.5893 0.4107 0.2562  5 S 2.49-2.65
K: 0.3295 0.0036 0.2549  5 S 3.13-3.39
S: 0.3559 0.3574 0.5057  2 Pu 2.65
K: 0.9964 0.6705 0.2549  5 S 3.13-3.39



Computed, not measured: an optimized crystal structure of KPuSc at the PBE-GGA level of DFT.

Spin magnetization = 2.987 μB per atom
Energy = -5.9858 eV per atom
Space group = F-43m (216)

a = 5.7014 Å, b = 5.7014 Å, c = 5.7014 Å
α = 60.00°, β = 60.00°, γ = 60.00°
Last column: nearest neighbours and their distance in Å.
Fractional coordinates of all 3 atoms:
Sc: 0.0000 0.0000 0.0000  4 Pu 3.49, 4 K 3.49
K: 0.2500 0.2500 0.2500  4 Sc 3.49
Pu: 0.7500 0.7500 0.7500  4 Sc 3.49



Computed, not measured: an optimized crystal structure of K2PuSe3 at the PBE-GGA level of DFT.

Spin magnetization = 0.666 μB per atom
Energy = -5.6927 eV per atom
Space group = Cmcm (63)

a = 7.8028 Å, b = 7.8028 Å, c = 7.6287 Å
α = 90.00°, β = 90.00°, γ = 68.84°
Last column: nearest neighbours and their distance in Å.
Fractional coordinates of all 12 atoms:
Pu: 0.0865 0.9135 0.7500  5 Se 2.64-2.79
Se: 0.1472 0.1472 0.5000  2 Pu 2.79
Se: 0.8528 0.8528 0.0000  2 Pu 2.79
Pu: 0.9135 0.0865 0.2500  5 Se 2.64-2.79
Se: 0.1472 0.1472 0.0000  2 Pu 2.79
Se: 0.8528 0.8528 0.5000  2 Pu 2.79
K: 0.4999 0.1688 0.7500  5 Se 3.26-3.52
K: 0.5001 0.8312 0.2500  5 Se 3.26-3.52
K: 0.8312 0.5001 0.7500  5 Se 3.26-3.52
Se: 0.3858 0.6142 0.7500  1 Pu 2.64
K: 0.1688 0.4999 0.2500  5 Se 3.26-3.52
Se: 0.6142 0.3858 0.2500  1 Pu 2.64



Computed, not measured: an optimized crystal structure of K2PuSe3 at the PBE-GGA level of DFT.

Spin magnetization = 0.666 μB per atom
Energy = -5.6929 eV per atom
Space group = Cmc2_1 (36)

a = 7.8151 Å, b = 7.8151 Å, c = 7.6292 Å
α = 90.00°, β = 90.00°, γ = 68.67°
Last column: nearest neighbours and their distance in Å.
Fractional coordinates of all 12 atoms:
Se: 0.3521 0.3536 0.5057  2 Pu 2.80
Pu: 0.5860 0.4140 0.2562  5 Se 2.64-2.80
Se: 0.6479 0.6464 0.0057  2 Pu 2.80
K: 0.3320 0.0003 0.2550  5 Se 3.27-3.52
K: 0.0003 0.3320 0.7550  5 Se 3.27-3.52
K: 0.9997 0.6680 0.2550  5 Se 3.27-3.52
Se: 0.1143 0.8857 0.7593  1 Pu 2.64
Se: 0.6464 0.6479 0.5057  2 Pu 2.80
Pu: 0.4140 0.5860 0.7562  5 Se 2.64-2.80
Se: 0.8857 0.1143 0.2593  1 Pu 2.64
K: 0.6680 0.9997 0.7550  5 Se 3.27-3.52
Se: 0.3536 0.3521 0.0057  2 Pu 2.80



Computed, not measured: an optimized crystal structure of K2PuSe3 at the PBE-GGA level of DFT.

Spin magnetization = 0.666 μB per atom
Energy = -5.6946 eV per atom
Space group = C2/c (15)

a = 7.7895 Å, b = 7.7895 Å, c = 7.6536 Å
α = 95.29°, β = 95.29°, γ = 69.05°
Last column: nearest neighbours and their distance in Å.
Fractional coordinates of all 12 atoms:
K: 0.4993 0.8222 0.6976  4 Se 3.26-3.52
Se: 0.1205 0.1738 0.5119  2 Pu 2.77-2.81
Se: 0.8262 0.8795 0.9881  2 Pu 2.77-2.81
Pu: 0.9165 0.0835 0.7500  5 Se 2.65-2.81
K: 0.1778 0.5007 0.8024  4 Se 3.26-3.52
Se: 0.8795 0.8262 0.4881  2 Pu 2.77-2.81
Se: 0.3834 0.6166 0.2500  1 Pu 2.65
Se: 0.1738 0.1205 0.0119  2 Pu 2.77-2.81
Pu: 0.0835 0.9165 0.2500  5 Se 2.65-2.81
K: 0.8222 0.4993 0.1976  4 Se 3.26-3.52
K: 0.5007 0.1778 0.3024  4 Se 3.26-3.52
Se: 0.6166 0.3834 0.7500  1 Pu 2.65